# AcBrO4

A relaxed AcBrO4 crystal (GGA-PBE, Alexandria).

Values from the calculation:
Space group: C2/c, No. 15
Crystal system: monoclinic
Uncorrected energy: -5.507 eV/atom

a b c (Å): 6.533 6.533 5.394
angles (deg): 69.26 69.26 69.54
Sites, in units of the cell vectors:
O1 0.278 0.109 0.642
O2 0.891 0.722 0.858
O3 0.722 0.891 0.358
O4 0.251 0.722 0.015
O5 0.749 0.278 0.985
O6 0.722 0.251 0.515
O7 0.109 0.278 0.142
O8 0.278 0.749 0.485
Br1 0.879 0.121 0.250
Br2 0.121 0.879 0.750
Ac1 0.000 0.500 0.500
Ac2 0.500 0.000 0.000

=====

# AcBr3O12

A relaxed AcBr3O12 crystal (GGA-PBE, Alexandria).

Values from the calculation:
Space group: R3c, No. 161
Crystal system: trigonal
Uncorrected energy: -4.511 eV/atom

a b c (Å): 9.141 9.141 10.540
angles (deg): 64.30 64.30 60.00
Sites, in units of the cell vectors:
Br1 0.684 0.343 0.000
Br2 0.473 0.843 0.500
Br3 0.973 0.684 0.000
Br4 0.184 0.473 0.500
Br5 0.843 0.184 0.500
Br6 0.343 0.973 0.000
O1 0.386 0.786 0.132
O2 0.286 0.886 0.632
O3 0.625 0.253 0.539
O4 0.195 0.286 0.632
O5 0.584 0.949 0.478
O6 0.886 0.195 0.632
O7 0.888 0.340 0.349
O8 0.695 0.386 0.132
O9 0.253 0.583 0.539
O10 0.949 0.989 0.478
O11 0.786 0.695 0.132
O12 0.423 0.888 0.349
O13 0.989 0.584 0.478
O14 0.388 0.923 0.849
O15 0.449 0.084 0.978
O16 0.084 0.489 0.978
O17 0.340 0.423 0.349
O18 0.583 0.625 0.539
O19 0.923 0.840 0.849
O20 0.125 0.083 0.039
O21 0.083 0.753 0.039
O22 0.489 0.449 0.978
O23 0.753 0.125 0.039
O24 0.840 0.388 0.849
Ac1 0.060 0.060 0.820
Ac2 0.560 0.560 0.320

=====

Number 1: calculated volume 195 Å³/cell, M_tot 0.00 μB/cell. Number 2: calculated volume 660 Å³/cell, M_tot 0.00 μB/cell.